The following is a DFT calculation (GGA-PBE) of a geometry-optimized Dy2Y3Er2Ni2S2 structure.

Properties
total magnetization = 0.0 μB/f.u.
symmetry = Imm2, No. 44
electronic total energy = -6.05 eV per atom

Unit cell a=8.9115 b=8.9115 c=8.9115 alpha=155.61 beta=67.30 gamma=118.37
Closest atoms and distances in Å follow each position.
Positions (direct):
Dy1 0.0121 0.8929 0.1192  2 Ni 2.80, 3 S 2.91-2.95
Dy2 0.7736 0.8929 0.8808  2 Ni 2.80, 3 S 2.91-2.95
Er1 0.4147 0.0999 0.3148  3 Ni 2.71-3.00, 1 S 3.02
Er2 0.7851 0.0999 0.6852  3 Ni 2.71-3.00, 1 S 3.02
Ni1 0.6468 0.4059 0.2409  3 Er 2.71-3.00, 2 Dy 2.80, 2 Y 2.90
Ni2 0.1650 0.4059 0.7591  3 Er 2.71-3.00, 2 Dy 2.80, 2 Y 2.90
S1 0.1464 0.1464 0.0000  5 Y 2.86-3.15, 2 Dy 2.91
S2 0.7362 0.2362 0.5000  2 Y 2.92, 4 Dy 2.95, 2 Er 3.02
Y1 0.4918 0.4918 0.0000  3 S 2.92-3.15
Y2 0.1029 0.7372 0.3657  2 S 2.86, 2 Ni 2.90
Y3 0.3715 0.7372 0.6343  2 S 2.86, 2 Ni 2.90


The following is a DFT calculation (GGA-PBE) of a geometry-optimized RbTa3Te5 structure.

Properties
total magnetization = 0.1 μB/f.u.
symmetry = P6/mmm, No. 191
electronic total energy = -6.14 eV per atom

Unit cell a=6.0412 b=6.0412 c=8.6478 alpha=90.00 beta=90.00 gamma=120.00
Closest atoms and distances in Å follow each position.
Positions (direct):
Rb1 0.0000 0.0000 0.0000  14 Te 4.06-4.32
Ta1 0.5000 0.0000 0.5000  6 Te 2.84-3.02, 4 Ta 3.02
Ta2 0.0000 0.5000 0.5000  6 Te 2.84-3.02, 4 Ta 3.02
Ta3 0.5000 0.5000 0.5000  6 Te 2.84-3.02, 4 Ta 3.02
Te1 0.6667 0.3333 0.2404  3 Ta 2.84
Te2 0.3333 0.6667 0.2404  3 Ta 2.84
Te3 0.0000 0.0000 0.5000  6 Ta 3.02
Te4 0.6667 0.3333 0.7596  3 Ta 2.84
Te5 0.3333 0.6667 0.7596  3 Ta 2.84


Q: The highest electronic total energy belongs to which entry?
A: Dy2Y3Er2Ni2S2